# 1
Here is HoTmPdAu after structural relaxation from Alexandria via LeMat-Bulk. Energies are from PBE.

The structure belongs to space group Amm2 (No. 38); the cell edges are 4.6400, 3.6973 and 10.5736 Å and the angles 90.00°, 90.00° and 90.00°. The inequivalent atoms are Ho at (0.0000, 0.0000, 0.0000), Tm at (0.5000, 0.0000, 0.7232), Pd at (0.0000, 0.0000, 0.2723) and Au at (0.5000, 0.0000, 0.4462).

Its density of states at the Fermi level is 0.47 states/eV per atom. The electronic total energy is -5.309 eV per atom. The value obtained for the energy above the most stable polymorph in this dataset is 0 meV/atom. For the theoretical density, the calculation gives 11.67 g/cm3.

***

# 2
Here is NbCu2SiPd after structural relaxation from Alexandria via LeMat-Bulk. Energies are from PBE.

The structure belongs to space group P4/mmm (No. 123); the cell edges are 4.3063, 4.3063 and 4.4719 Å and the angles 90.00°, 90.00° and 90.00°. The inequivalent atoms are Nb at (0.0000, 0.0000, 0.0000), Cu at (0.0000, 0.5000, 0.5000), Si at (0.5000, 0.5000, 0.5000) and Pd at (0.5000, 0.5000, 0.0000).

Its density of states at the Fermi level is 0.70 states/eV per atom. The electronic total energy is -5.285 eV per atom. For the theoretical density, the calculation gives 7.10 g/cm3. Its formation energy without anion corrections is 490 meV/atom.

***

# 3
Here is PrYSc6 after structural relaxation from Alexandria via LeMat-Bulk. Energies are from PBE.

The structure belongs to space group P-6m2 (No. 187); the cell edges are 6.8268, 6.8268 and 5.3414 Å and the angles 90.00°, 90.00° and 120.00°. The inequivalent atoms are Pr at (0.0000, 0.0000, 0.0000), Y at (0.6667, 0.3333, 0.5000), Sc at (0.0099, 0.5049, 0.0000) and Sc at (0.1721, 0.3443, 0.5000).

Its density of states at the Fermi level is 1.91 states/eV per atom. The electronic total energy is -6.122 eV per atom. For the theoretical density, the calculation gives 3.85 g/cm3.

***

# 4
Here is Sc3GaRu4 after structural relaxation from Alexandria via LeMat-Bulk. Energies are from PBE.

The structure belongs to space group P4/mmm (No. 123); the cell edges are 3.1876, 3.1876 and 12.5485 Å and the angles 90.00°, 90.00° and 90.00°. The inequivalent atoms are Sc at (0.0000, 0.0000, 0.0000), Sc at (0.0000, 0.0000, 0.2574), Ga at (0.0000, 0.0000, 0.5000), Ru at (0.5000, 0.5000, 0.1299) and Ru at (0.5000, 0.5000, 0.3897).

Its density of states at the Fermi level is 1.06 states/eV per atom. The electronic total energy is -7.879 eV per atom. For the theoretical density, the calculation gives 7.93 g/cm3.